Here is a PBEsol-optimized structure of Sr2Li2Cd from Alexandria. Energies are from SCAN.

Geometry as extended XYZ:
```
10
Lattice="7.768 0.000 0.000 0.000 7.768 0.000 0.000 0.000 5.110" Properties=species:S:1:pos:R:3 pbc="T T T"
Sr 1.449 2.435 0.000
Sr 2.435 6.318 0.000
Sr 5.333 1.449 0.000
Sr 6.318 5.333 0.000
Li 0.999 4.882 2.555
Li 2.885 0.999 2.555
Li 4.882 6.769 2.555
Li 6.769 2.885 2.555
Cd 0.000 0.000 2.555
Cd 3.884 3.884 2.555
```

Values from the calculation:
V = 308.3 Å³ per cell
magnetic moment = 0.00 μB per cell
space-group type = P4/mbm (127)
calculated density = 3.248 g/cm³
uncorrected energy = -16.028 eV per atom
ΔE_f = -0.079 eV/atom

Here is a PBEsol-optimized structure of Sr2Li2Cd from Alexandria. Energies are from SCAN.

Geometry as extended XYZ:
```
5
Lattice="-2.006 2.006 9.915 2.006 -2.006 9.915 2.006 2.006 -9.915" Properties=species:S:1:pos:R:3 pbc="T T T"
Sr 0.000 0.000 1.932
Sr 0.000 0.000 17.897
Li 2.006 0.000 4.957
Li 0.000 2.006 4.957
Cd 0.000 0.000 9.915
```

Values from the calculation:
V = 159.7 Å³ per cell
magnetic moment = 0.26 μB per cell
space-group type = I4/mmm (139)
calculated density = 3.136 g/cm³
uncorrected energy = -16.060 eV per atom
ΔE_f = -0.111 eV/atom

Q: Among the records above, which one has the highest magnetic moment?
A: number 2

Q: Which of these has the lowest ΔE_f?
A: number 2

Q: The lowest magnetic moment belongs to which entry?
A: number 1

What did the second record say?
Here is a PBEsol-optimized structure of Sr2Li2Cd from Alexandria. Energies are from SCAN.

Geometry as extended XYZ:
```
5
Lattice="-2.006 2.006 9.915 2.006 -2.006 9.915 2.006 2.006 -9.915" Properties=species:S:1:pos:R:3 pbc="T T T"
Sr 0.000 0.000 1.932
Sr 0.000 0.000 17.897
Li 2.006 0.000 4.957
Li 0.000 2.006 4.957
Cd 0.000 0.000 9.915
```

Values from the calculation:
V = 159.7 Å³ per cell
magnetic moment = 0.26 μB per cell
space-group type = I4/mmm (139)
calculated density = 3.136 g/cm³
uncorrected energy = -16.060 eV per atom
ΔE_f = -0.111 eV/atom